Material: Ca8Ag2Ge
Method: DFT, PBE
State: relaxed

```
11
Lattice="6.393 -0.036 -1.141 -2.228 7.252 -3.189 -0.235 -0.274 8.222" Properties=species:S:1:pos:R:3 pbc="T T T"
Ca 2.903 2.430 -1.019
Ca 3.407 0.527 1.867
Ca 0.238 2.469 1.587
Ca 5.612 1.156 4.756
Ca 4.426 5.633 -2.031
Ca 3.519 4.527 2.371
Ca 0.078 6.469 2.075
Ca 0.597 4.508 5.047
Ag 1.628 5.022 -0.123
Ag 2.380 2.185 4.177
Ge -1.294 6.962 4.818
```

Computed properties:
DFT formation energy ... -0.21 eV/atom
DFT total energy ... -28.7 eV for the cell shown
Spin magnetization ... 0.000 μB per formula unit